A plane-wave DFT calculation with PBE-GGA was carried out for a relaxed structure of OsRu4.

a b c (Å): 3.8292 3.8273 9.7603
angles (deg): 90.00 101.23 90.00
Space group C2/m (No. 12)
Unique sites:
Os  0.0000  0.0000  0.0000 x2
Ru  0.0995  0.5000  0.1994 x4
Ru  0.2014  0.0000  0.4020 x4

**Total magnetic moment**: 0.00 μB/f.u.
**Volume**: 140.30 Å³ per cell
**Offset from the most stable computed form**: 0 meV/atom
**Density of states at the Fermi level**: 9.17 states/eV/cell
**ΔE_f**: 0.110 eV per atom



A plane-wave DFT calculation with PBE-GGA was carried out for a relaxed structure of Ho2AuC.

a b c (Å): 3.6716 3.6716 20.9898
angles (deg): 90.00 90.00 120.00
Space group R-3m (No. 166, hexagonal axes)
Unique sites:
Ho  0.0000  0.0000  0.2296 x6
Au  0.0000  0.0000  0.0000 x3
C  0.0000  0.0000  0.5000 x3

**Total magnetic moment**: 0.03 μB/f.u.
**Volume**: 245.05 Å³ per cell
**Density of states at the Fermi level**: 9.31 states/eV/cell
**ΔE_f**: -0.528 eV per atom



A plane-wave DFT calculation with PBE-GGA was carried out for a relaxed structure of LiSeF5.

a b c (Å): 8.5766 6.8615 8.0449
angles (deg): 90.00 113.60 90.00
Space group Cc (No. 9)
Unique sites:
Li  0.0000  0.1533  0.0000 x4
Se  0.2708  0.2329  0.7684 x4
F  0.1022  0.3248  0.5775 x4
F  0.1311  0.2902  0.8944 x4
F  0.1628  0.0130  0.1993 x4
F  0.3499  0.4938  0.8061 x4
F  0.3807  0.1915  0.6073 x4

**Energy relative to the elements, uncorrected**: -2.087 eV/atom
**Total magnetic moment**: 0.00 μB/f.u.
**Volume**: 433.83 Å³ per cell
**Density of states at the Fermi level**: 0.00 states/eV/cell



A plane-wave DFT calculation with PBE-GGA was carried out for a relaxed structure of BaAl2V.

a b c (Å): 5.3068 5.3068 18.0676
angles (deg): 90.00 90.00 90.00
Space group I4_1/amd (No. 141, origin choice 2)
Unique sites:
Ba  0.0000  0.2500  0.3750 x4
Al  0.0000  0.0000  0.0000 x8
V  0.0000  0.2500  0.8750 x4

**Total magnetic moment**: 3.47 μB/f.u.
**Volume**: 508.83 Å³ per cell
**Offset from the most stable computed form**: 0 meV/atom
**Density of states at the Fermi level**: 15.03 states/eV/cell
**ΔE_f**: 0.408 eV per atom



A plane-wave DFT calculation with PBE-GGA was carried out for a relaxed structure of Rb3MnBr.

a b c (Å): 6.6601 6.6601 6.6601
angles (deg): 90.00 90.00 90.00
Space group Pm-3m (No. 221)
Unique sites:
Rb  0.0000  0.0000  0.5000 x3
Mn  0.5000  0.5000  0.5000 x1
Br  0.0000  0.0000  0.0000 x1

**Energy relative to the elements, uncorrected**: -0.063 eV/atom
**Total magnetic moment**: 4.77 μB/f.u.
**Volume**: 295.42 Å³ per cell
**Density of states at the Fermi level**: 5.71 states/eV/cell



A plane-wave DFT calculation with PBE-GGA was carried out for a relaxed structure of K3MgPd.

a b c (Å): 6.2772 6.2772 6.2772
angles (deg): 90.00 90.00 90.00
Space group Pm-3m (No. 221)
Unique sites:
K  0.0000  0.0000  0.5000 x3
Mg  0.5000  0.5000  0.5000 x1
Pd  0.0000  0.0000  0.0000 x1

**Total magnetic moment**: 0.00 μB/f.u.
**Volume**: 247.34 Å³ per cell
**Offset from the most stable computed form**: 0 meV/atom
**Density of states at the Fermi level**: 4.62 states/eV/cell
**ΔE_f**: 0.246 eV per atom



A plane-wave DFT calculation with PBE-GGA was carried out for a relaxed structure of Ag3Pd2Au.

a b c (Å): 4.0807 12.2606 4.0766
angles (deg): 90.00 90.00 90.00
Space group Cmmm (No. 65)
Unique sites:
Ag  0.0000  0.0000  0.0000 x2
Ag  0.0000  0.3312  0.0000 x4
Pd  0.0000  0.1672  0.5000 x4
Au  0.0000  0.5000  0.5000 x2

**Total magnetic moment**: 0.00 μB/f.u.
**Volume**: 203.96 Å³ per cell
**Offset from the most stable computed form**: 0 meV/atom
**Density of states at the Fermi level**: 5.42 states/eV/cell
**ΔE_f**: -0.054 eV per atom



A plane-wave DFT calculation with PBE-GGA was carried out for a relaxed structure of SrMgAl2Co.

a b c (Å): 4.6491 4.6491 4.8847
angles (deg): 90.00 90.00 90.00
Space group P4/mmm (No. 123)
Unique sites:
Sr  0.0000  0.0000  0.0000 x1
Mg  0.5000  0.5000  0.0000 x1
Al  0.0000  0.5000  0.5000 x2
Co  0.5000  0.5000  0.5000 x1

**Total magnetic moment**: 0.65 μB/f.u.
**Volume**: 105.58 Å³ per cell
**Density of states at the Fermi level**: 3.16 states/eV/cell
**ΔE_f**: -0.214 eV per atom



A plane-wave DFT calculation with PBE-GGA was carried out for a relaxed structure of Dy4PaRu5.

a b c (Å): 8.7967 8.7967 5.5084
angles (deg): 90.00 90.00 90.00
Space group I4 (No. 79)
Unique sites:
Dy  0.0771  0.3215  0.0000 x8
Pa  0.0000  0.0000  0.2896 x2
Ru  0.0000  0.0000  0.8554 x2
Ru  0.1044  0.2330  0.5154 x8

**Total magnetic moment**: 0.00 μB/f.u.
**Volume**: 426.25 Å³ per cell
**Density of states at the Fermi level**: 19.09 states/eV/cell
**ΔE_f**: -0.148 eV per atom



A plane-wave DFT calculation with PBE-GGA was carried out for a relaxed structure of Tb2MgIn4.

a b c (Å): 8.8335 9.4124 4.5224
angles (deg): 90.00 90.00 90.00
Space group Cmmm (No. 65)
Unique sites:
Tb  0.2280  0.0000  0.0000 x4
Mg  0.0000  0.5000  0.5000 x2
In  0.0000  0.2612  0.0000 x4
In  0.2500  0.2500  0.5000 x4

**Total magnetic moment**: 0.00 μB/f.u.
**Volume**: 376.01 Å³ per cell
**Density of states at the Fermi level**: 8.04 states/eV/cell
**ΔE_f**: -0.298 eV per atom



A plane-wave DFT calculation with PBE-GGA was carried out for a relaxed structure of Li7Cu2Sn.

a b c (Å): 7.4450 12.6570 4.4011
angles (deg): 90.00 90.00 90.00
Space group Cmmm (No. 65)
Unique sites:
Li  0.0000  0.0000  0.0000 x2
Li  0.0000  0.2718  0.5000 x4
Li  0.1816  0.3798  0.0000 x8
Cu  0.0000  0.1987  0.0000 x4
Sn  0.0000  0.5000  0.5000 x2

**Total magnetic moment**: 0.00 μB/f.u.
**Volume**: 414.72 Å³ per cell
**Density of states at the Fermi level**: 5.43 states/eV/cell
**ΔE_f**: 0.101 eV per atom



A plane-wave DFT calculation with PBE-GGA was carried out for a relaxed structure of TbGeIrO.

a b c (Å): 4.0677 4.0677 8.1938
angles (deg): 90.00 90.00 90.00
Space group P4/nmm (No. 129, origin choice 2)
Unique sites:
Tb  0.2500  0.2500  0.1289 x2
Ge  0.2500  0.2500  0.6705 x2
Ir  0.2500  0.7500  0.5000 x2
O  0.2500  0.7500  0.0000 x2

**Energy relative to the elements, uncorrected**: -1.811 eV/atom
**Total magnetic moment**: 0.00 μB/f.u.
**Volume**: 135.57 Å³ per cell
**Density of states at the Fermi level**: 1.90 states/eV/cell



A plane-wave DFT calculation with PBE-GGA was carried out for a relaxed structure of Sm2Cd5Ag.

a b c (Å): 4.7165 4.7165 33.5275
angles (deg): 90.00 90.00 120.00
Space group R-3m (No. 166, hexagonal axes)
Unique sites:
Sm  0.0000  0.0000  0.0914 x6
Cd  0.0000  0.0000  0.1951 x6
Cd  0.0000  0.0000  0.3634 x6
Cd  0.0000  0.0000  0.5000 x3
Ag  0.0000  0.0000  0.0000 x3

**Total magnetic moment**: 0.00 μB/f.u.
**Volume**: 645.91 Å³ per cell
**Density of states at the Fermi level**: 17.10 states/eV/cell
**ΔE_f**: -0.091 eV per atom



A plane-wave DFT calculation with PBE-GGA was carried out for a relaxed structure of BaSr4Hg.

a b c (Å): 4.1477 4.1477 16.8268
angles (deg): 90.00 90.00 90.00
Space group P4/mmm (No. 123)
Unique sites:
Ba  0.0000  0.0000  0.0000 x1
Sr  0.0000  0.0000  0.3879 x2
Sr  0.5000  0.5000  0.1980 x2
Hg  0.5000  0.5000  0.5000 x1

**Total magnetic moment**: 0.00 μB/f.u.
**Volume**: 289.48 Å³ per cell
**Offset from the most stable computed form**: 0 meV/atom
**Density of states at the Fermi level**: 6.93 states/eV/cell
**ΔE_f**: -0.172 eV per atom



A plane-wave DFT calculation with PBE-GGA was carried out for a relaxed structure of AlTcAu2.

a b c (Å): 9.8397 2.8277 4.8650
angles (deg): 90.00 105.65 90.00
Space group C2/m (No. 12)
Unique sites:
Al  0.0000  0.0000  0.0000 x2
Tc  0.0000  0.5000  0.5000 x2
Au  0.2381  0.5000  0.2455 x4

**Total magnetic moment**: 0.00 μB/f.u.
**Volume**: 130.35 Å³ per cell
**Density of states at the Fermi level**: 5.78 states/eV/cell
**ΔE_f**: 0.071 eV per atom



A plane-wave DFT calculation with PBE-GGA was carried out for a relaxed structure of TiMnP2H.

a b c (Å): 4.1510 4.1510 4.7430
angles (deg): 90.00 90.00 90.00
Space group P4/mmm (No. 123)
Unique sites:
Ti  0.0000  0.0000  0.0000 x1
Mn  0.0000  0.0000  0.5000 x1
P  0.0000  0.5000  0.5000 x2
H  0.5000  0.5000  0.0000 x1

**Total magnetic moment**: 0.72 μB/f.u.
**Volume**: 81.72 Å³ per cell
**Density of states at the Fermi level**: 3.04 states/eV/cell
**VASP energy**: -28.73 eV per cell



A plane-wave DFT calculation with PBE-GGA was carried out for a relaxed structure of YAsRu2S.

a b c (Å): 4.3322 4.3322 5.2164
angles (deg): 90.00 90.00 90.00
Space group P4/mmm (No. 123)
Unique sites:
Y  0.0000  0.0000  0.0000 x1
As  0.5000  0.5000  0.0000 x1
Ru  0.0000  0.5000  0.5000 x2
S  0.0000  0.0000  0.5000 x1

**Energy relative to the elements, uncorrected**: -0.102 eV/atom
**Total magnetic moment**: 1.04 μB/f.u.
**Volume**: 97.90 Å³ per cell
**Density of states at the Fermi level**: 4.90 states/eV/cell



A plane-wave DFT calculation with PBE-GGA was carried out for a relaxed structure of Ac2RhSe.

a b c (Å): 3.7518 3.7518 7.8401
angles (deg): 90.00 90.00 90.00
Space group P4/mmm (No. 123)
Unique sites:
Ac  0.0000  0.0000  0.2335 x2
Rh  0.5000  0.5000  0.0000 x1
Se  0.5000  0.5000  0.5000 x1

**Energy relative to the elements, uncorrected**: -1.075 eV/atom
**Total magnetic moment**: 0.00 μB/f.u.
**Volume**: 110.36 Å³ per cell
**Offset from the most stable computed form**: 186 meV/atom
**Density of states at the Fermi level**: 1.70 states/eV/cell



A plane-wave DFT calculation with PBE-GGA was carried out for a relaxed structure of RbMo3Br.

a b c (Å): 4.8221 4.8221 4.8221
angles (deg): 90.00 90.00 90.00
Space group Pm-3m (No. 221)
Unique sites:
Rb  0.0000  0.0000  0.0000 x1
Mo  0.0000  0.5000  0.5000 x3
Br  0.5000  0.5000  0.5000 x1

**Energy relative to the elements, uncorrected**: 2.031 eV/atom
**Total magnetic moment**: 0.00 μB/f.u.
**Volume**: 112.13 Å³ per cell
**Offset from the most stable computed form**: 0 meV/atom
**Density of states at the Fermi level**: 3.92 states/eV/cell



A plane-wave DFT calculation with PBE-GGA was carried out for a relaxed structure of Pm3BiRu.

a b c (Å): 8.5419 4.4609 15.3841
angles (deg): 90.00 90.00 90.00
Space group Pnma (No. 62)
Unique sites:
Pm  0.0489  0.2500  0.1279 x4
Pm  0.2035  0.2500  0.5039 x4
Pm  0.2266  0.7500  0.2953 x4
Bi  0.0600  0.7500  0.6613 x4
Ru  0.0953  0.2500  0.9449 x4

**Total magnetic moment**: 0.00 μB/f.u.
**Volume**: 586.21 Å³ per cell
**Offset from the most stable computed form**: 0 meV/atom
**Density of states at the Fermi level**: 10.41 states/eV/cell
**ΔE_f**: -0.546 eV per atom